Here is AlCr2Ag after structural relaxation from the Alexandria database. Energies are from GGA-PBE.

Output
Total magnetization, μB/f.u.: 7.1
Formation energy from the elements, eV/atom: 0.361
Calculated volume, Å³/atom: 16.0

Cell lengths 4.4588, 4.4588, 3.2111 Å; angles 90.00, 90.00, 89.97 degrees
Last column: nearest neighbours and their distance in Å.
Fractional positions:
Ag (0.5000, 0.0000, 0.5000)  8 Cr 2.75
Cr (0.0000, 0.0000, 0.0000)  4 Al 2.75, 4 Ag 2.75
Cr (0.5000, 0.5000, 0.0000)  4 Ag 2.75, 4 Al 2.75
Al (0.0000, 0.5000, 0.5000)  8 Cr 2.75

Here is LiGa6Cu3 after structural relaxation from the Alexandria database. Energies are from GGA-PBE.

Output
Total magnetization, μB/f.u.: 0.0
Formation energy from the elements, eV/atom: -0.074
Calculated volume, Å³/atom: 15.8

Cell lengths 5.2408, 7.7905, 7.7905 Å; angles 97.81, 90.00, 90.00 degrees
Last column: nearest neighbours and their distance in Å.
Fractional positions:
Ga (0.1314, 0.7001, 0.2999)  2 Li 2.61-2.63, 4 Cu 2.62-2.72, 2 Ga 2.78
Ga (0.8847, 0.4061, 0.0092)  2 Cu 2.52-2.80, 2 Ga 2.75-2.78, 1 Li 2.78
Ga (0.1319, 0.7106, 0.7200)  4 Cu 2.55-2.70, 4 Ga 2.62-2.83
Ga (0.6314, 0.2999, 0.7001)  2 Li 2.61-2.63, 4 Cu 2.62-2.72, 2 Ga 2.78
Ga (0.3847, 0.5939, 0.9908)  2 Cu 2.52-2.80, 2 Ga 2.75-2.78, 1 Li 2.78
Ga (0.0305, 0.0433, 0.9567)  4 Cu 2.57-2.64, 2 Ga 2.81
Ga (0.1319, 0.2800, 0.2894)  4 Cu 2.55-2.70, 4 Ga 2.62-2.83
Ga (0.6319, 0.7200, 0.7106)  4 Cu 2.55-2.70, 4 Ga 2.62-2.83
Ga (0.3847, 0.0092, 0.4061)  2 Cu 2.52-2.80, 2 Ga 2.75-2.78, 1 Li 2.78
Ga (0.6319, 0.2894, 0.2800)  4 Cu 2.55-2.70, 4 Ga 2.62-2.83
Ga (0.5305, 0.9567, 0.0433)  4 Cu 2.57-2.64, 2 Ga 2.81
Ga (0.8847, 0.9908, 0.5939)  2 Cu 2.52-2.80, 2 Ga 2.75-2.78, 1 Li 2.78
Cu (0.3901, 0.0109, 0.7297)  7 Ga 2.52-2.80, 1 Cu 2.66, 1 Li 2.68
Cu (0.3901, 0.2703, 0.9891)  7 Ga 2.52-2.80, 1 Cu 2.66, 1 Li 2.68
Cu (0.8762, 0.4981, 0.5019)  6 Ga 2.55-2.72, 2 Cu 2.62, 2 Li 2.66
Cu (0.3762, 0.5019, 0.4981)  6 Ga 2.55-2.72, 2 Cu 2.62, 2 Li 2.66
Cu (0.8901, 0.9891, 0.2703)  7 Ga 2.52-2.80, 1 Cu 2.66, 1 Li 2.68
Cu (0.8901, 0.7297, 0.0109)  7 Ga 2.52-2.80, 1 Cu 2.66, 1 Li 2.68
Li (0.1339, 0.3029, 0.6971)  4 Ga 2.61-2.78, 4 Cu 2.66-2.68
Li (0.6339, 0.6971, 0.3029)  4 Ga 2.61-2.78, 4 Cu 2.66-2.68

Here is NaTlGa2Br after structural relaxation from the Alexandria database. Energies are from GGA-PBE.

Output
Total magnetization, μB/f.u.: 0.0
Raw formation energy, meV per atom: 87
Calculated volume, Å³/atom: 34.4

Cell lengths 5.2901, 6.1493, 5.2901 Å; angles 90.00, 90.00, 90.00 degrees
Last column: nearest neighbours and their distance in Å.
Fractional positions:
Tl (0.0000, 0.0000, 0.0000)  4 Ga 2.65
Br (0.5000, 0.5000, 0.5000)  4 Na 3.74, 8 Ga 4.06
Ga (0.0000, 0.0000, 0.5000)  2 Tl 2.65
Ga (0.5000, 0.0000, 0.0000)  2 Tl 2.65
Na (0.0000, 0.5000, 0.0000)  2 Tl 3.07

Here is P2OsSe after structural relaxation from the Alexandria database. Energies are from GGA-PBE.

Output
Total magnetization, μB/f.u.: 0.0
Raw formation energy, meV per atom: 828
Calculated volume, Å³/atom: 14.8

Cell lengths 2.9234, 4.5025, 4.5025 Å; angles 90.00, 90.00, 90.00 degrees
Last column: nearest neighbours and their distance in Å.
Fractional positions:
Se (0.5000, 0.5000, 0.0000)  8 P 2.68, 2 Se 2.92
P (0.0000, 0.0000, 0.0000)  4 Se 2.68, 4 Os 2.68, 2 P 2.92
P (0.0000, 0.5000, 0.5000)  4 Se 2.68, 4 Os 2.68, 2 P 2.92
Os (0.5000, 0.0000, 0.5000)  8 P 2.68, 2 Os 2.92